## A
Computed, not measured: a relaxed Sm7DyTm4 crystal at the PBE level of DFT.

Results
Space-group type = No. 2
Mass density = 8.1 Mg/m³

Cell: 6.2495 7.2105 8.8759 Å, 90.01 103.67 90.03°
Last column: nearest neighbours and their distance in Å.
Fractional coordinates of all 12 atoms:
1 Sm 0.0000 0.0000 0.0000  4 Tm 3.54-3.56, 6 Sm 3.57-3.60, 2 Dy 3.61
2 Sm 0.2214 0.5002 0.6654  6 Sm 3.53-3.62, 5 Tm 3.55-3.62, 1 Dy 3.56
3 Sm 0.2805 0.7508 0.3355  6 Tm 3.52-3.63, 5 Sm 3.53-3.62, 1 Dy 3.57
4 Sm 0.4992 0.2471 0.0013  3 Tm 3.54-3.56, 7 Sm 3.56-3.65, 2 Dy 3.61-3.62
5 Sm 0.5008 0.7529 0.9987  3 Tm 3.54-3.56, 7 Sm 3.56-3.65, 2 Dy 3.61-3.62
6 Sm 0.7195 0.2492 0.6645  6 Tm 3.52-3.63, 5 Sm 3.53-3.62, 1 Dy 3.57
7 Sm 0.7786 0.4998 0.3346  6 Sm 3.53-3.62, 5 Tm 3.55-3.62, 1 Dy 3.56
8 Dy 0.0000 0.5000 0.0000  2 Tm 3.56, 10 Sm 3.56-3.62
9 Tm 0.2195 0.0000 0.6645  4 Tm 3.50-3.61, 8 Sm 3.52-3.61
10 Tm 0.2779 0.2474 0.3336  8 Sm 3.52-3.63, 3 Tm 3.53-3.61, 1 Dy 3.56
11 Tm 0.7221 0.7526 0.6664  8 Sm 3.52-3.63, 3 Tm 3.53-3.61, 1 Dy 3.56
12 Tm 0.7805 0.0000 0.3355  4 Tm 3.50-3.61, 8 Sm 3.52-3.61

***

## B
Computed, not measured: a relaxed Sm7DyTm4 crystal at the PBE level of DFT.

Results
Space-group type = No. 12
Mass density = 7.9 Mg/m³

Cell: 8.5333 8.5333 9.3436 Å, 114.85 114.85 40.65°
Last column: nearest neighbours and their distance in Å.
Fractional coordinates of all 12 atoms:
1 Sm 0.0000 0.0000 0.0000  2 Dy 2.96
2 Sm 0.2869 0.2869 0.1164  6 Sm 3.32-3.65, 3 Tm 3.66-3.72
3 Sm 0.2876 0.2876 0.7612  1 Dy 3.12, 4 Tm 3.17-3.45, 2 Sm 3.32-3.40
4 Sm 0.4151 0.4151 0.5525  3 Sm 3.28-3.65, 3 Tm 3.43-3.51
5 Sm 0.5849 0.5849 0.4475  3 Sm 3.28-3.65, 3 Tm 3.43-3.51
6 Sm 0.7124 0.7124 0.2388  1 Dy 3.12, 4 Tm 3.17-3.45, 2 Sm 3.32-3.40
7 Sm 0.7131 0.7131 0.8836  6 Sm 3.32-3.65, 3 Tm 3.66-3.72
8 Dy 0.5000 0.5000 0.0000  4 Sm 2.96-3.12
9 Tm 0.0709 0.0709 0.6987  2 Sm 3.25-3.48, 2 Tm 3.37-3.58
10 Tm 0.1702 0.1702 0.3829  7 Sm 3.17-3.51
11 Tm 0.8298 0.8298 0.6171  7 Sm 3.17-3.51
12 Tm 0.9291 0.9291 0.3013  2 Sm 3.25-3.48, 2 Tm 3.37-3.58

***

Stability comparison, relative energies in eV/atom: A 0.000; B 0.223

***

## A
Computed, not measured: a relaxed SmDyTm6 crystal at the PBE level of DFT.

Results
Space-group type = No. 12
Mass density = 8.8 Mg/m³

Cell: 6.6280 11.6656 6.4874 Å, 90.00 91.16 90.00°
Last column: nearest neighbours and their distance in Å.
Fractional coordinates of all 16 atoms:
1 Sm 0.0000 0.0000 0.0000  2 Dy 3.24, 6 Tm 3.50-3.56
2 Sm 0.5000 0.5000 0.0000  2 Dy 3.24, 6 Tm 3.50-3.56
3 Dy 0.0000 0.0000 0.5000  2 Sm 3.24, 6 Tm 3.43-3.52
4 Dy 0.5000 0.5000 0.5000  2 Sm 3.24, 6 Tm 3.43-3.52
5 Tm 0.0383 0.5000 0.2512  6 Tm 3.23-3.49, 1 Dy 3.43, 1 Sm 3.50
6 Tm 0.1734 0.2508 0.7465  6 Tm 3.23-3.49, 1 Dy 3.52, 1 Sm 3.56
7 Tm 0.1734 0.7492 0.7465  6 Tm 3.23-3.49, 1 Dy 3.52, 1 Sm 3.56
8 Tm 0.3266 0.2492 0.2535  6 Tm 3.23-3.49, 1 Dy 3.52, 1 Sm 3.56
9 Tm 0.3266 0.7508 0.2535  6 Tm 3.23-3.49, 1 Dy 3.52, 1 Sm 3.56
10 Tm 0.4617 0.0000 0.7488  6 Tm 3.23-3.49, 1 Dy 3.43, 1 Sm 3.50
11 Tm 0.5383 0.0000 0.2512  6 Tm 3.23-3.49, 1 Dy 3.43, 1 Sm 3.50
12 Tm 0.6734 0.2492 0.7465  6 Tm 3.23-3.49, 1 Dy 3.52, 1 Sm 3.56
13 Tm 0.6734 0.7508 0.7465  6 Tm 3.23-3.49, 1 Dy 3.52, 1 Sm 3.56
14 Tm 0.8266 0.2508 0.2535  6 Tm 3.23-3.49, 1 Dy 3.52, 1 Sm 3.56
15 Tm 0.8266 0.7492 0.2535  6 Tm 3.23-3.49, 1 Dy 3.52, 1 Sm 3.56
16 Tm 0.9617 0.5000 0.7488  6 Tm 3.23-3.49, 1 Dy 3.43, 1 Sm 3.50

***

## B
Computed, not measured: a relaxed SmDyTm6 crystal at the PBE level of DFT.

Results
Space-group type = No. 123
Mass density = 9.0 Mg/m³

Cell: 7.0199 7.0199 4.9567 Å, 90.00 90.00 90.00°
Last column: nearest neighbours and their distance in Å.
Fractional coordinates of all 8 atoms:
1 Sm 0.0000 0.0000 0.0000  12 Tm 3.51
2 Dy 0.5000 0.5000 0.0000  12 Tm 3.50-3.51
3 Tm 0.0000 0.5000 0.0000  8 Tm 3.51, 2 Dy 3.51, 2 Sm 3.51
4 Tm 0.2509 0.2509 0.5000  8 Tm 3.50-3.52, 2 Dy 3.50, 2 Sm 3.51
5 Tm 0.2509 0.7491 0.5000  8 Tm 3.50-3.52, 2 Dy 3.50, 2 Sm 3.51
6 Tm 0.5000 0.0000 0.0000  8 Tm 3.51, 2 Dy 3.51, 2 Sm 3.51
7 Tm 0.7491 0.2509 0.5000  8 Tm 3.50-3.52, 2 Dy 3.50, 2 Sm 3.51
8 Tm 0.7491 0.7491 0.5000  8 Tm 3.50-3.52, 2 Dy 3.50, 2 Sm 3.51

***

Stability comparison, relative energies in eV/atom: A 0.210; B 0.000

***

## A
Computed, not measured: a relaxed Sm3Dy6Tm2 crystal at the PBE level of DFT.

Results
Space-group type = No. 166
Mass density = 8.4 Mg/m³

Cell: 31.8987 31.8987 31.8987 Å, 6.39 6.39 6.39°
Last column: nearest neighbours and their distance in Å.
Fractional coordinates of all 11 atoms:
1 Sm 0.0000 0.0000 0.0000  6 Sm 3.56, 6 Dy 3.57
2 Sm 0.2721 0.2721 0.2721  6 Sm 3.56, 6 Dy 3.57-3.58
3 Sm 0.7279 0.7279 0.7279  6 Sm 3.56, 6 Dy 3.57-3.58
4 Dy 0.0920 0.0920 0.0920  3 Tm 3.51, 6 Dy 3.56, 3 Sm 3.58
5 Dy 0.1818 0.1818 0.1818  3 Tm 3.51, 9 Dy 3.54-3.56
6 Dy 0.3639 0.3639 0.3639  6 Dy 3.56, 6 Sm 3.57
7 Dy 0.6361 0.6361 0.6361  6 Dy 3.56, 6 Sm 3.57
8 Dy 0.8182 0.8182 0.8182  3 Tm 3.51, 9 Dy 3.54-3.56
9 Dy 0.9080 0.9080 0.9080  3 Tm 3.51, 6 Dy 3.56, 3 Sm 3.58
10 Tm 0.4551 0.4551 0.4551  6 Dy 3.51, 6 Tm 3.56
11 Tm 0.5449 0.5449 0.5449  6 Dy 3.51, 6 Tm 3.56

***

## B
Computed, not measured: a relaxed Sm3Dy6Tm2 crystal at the PBE level of DFT.

Results
Space-group type = No. 139
Mass density = 7.9 Mg/m³

Cell: 16.8995 16.8995 16.8995 Å, 163.89 163.89 22.85°
Last column: nearest neighbours and their distance in Å.
Fractional coordinates of all 11 atoms:
1 Sm 0.0000 0.0000 0.0000  8 Tm 3.68
2 Sm 0.2014 0.2014 0.0000  9 Dy 3.36-3.58
3 Sm 0.7986 0.7986 0.0000  9 Dy 3.36-3.58
4 Dy 0.1202 0.6202 0.5000  6 Dy 3.35-3.42, 2 Tm 3.41, 2 Sm 3.58
5 Dy 0.3053 0.3053 0.0000  5 Sm 3.36-3.44, 4 Dy 3.42
6 Dy 0.3798 0.8798 0.5000  6 Dy 3.35-3.42, 2 Tm 3.41, 2 Sm 3.58
7 Dy 0.6202 0.1202 0.5000  6 Dy 3.35-3.42, 2 Tm 3.41, 2 Sm 3.58
8 Dy 0.6947 0.6947 0.0000  5 Sm 3.36-3.44, 4 Dy 3.42
9 Dy 0.8798 0.3798 0.5000  6 Dy 3.35-3.42, 2 Tm 3.41, 2 Sm 3.58
10 Tm 0.4540 0.4540 0.0000  1 Tm 3.05, 4 Dy 3.41
11 Tm 0.5460 0.5460 0.0000  1 Tm 3.05, 4 Dy 3.41

***

Stability comparison, relative energies in eV/atom: A 0.000; B 0.263

***

## A
Computed, not measured: a relaxed Sm4Dy5Tm crystal at the PBE level of DFT.

Results
Space-group type = No. 12
Mass density = 7.8 Mg/m³

Cell: 8.7669 8.7669 11.0898 Å, 90.09 90.09 23.21°
Last column: nearest neighbours and their distance in Å.
Fractional coordinates of all 10 atoms:
1 Sm 0.0295 0.0295 0.2491  4 Dy 3.30-3.33, 2 Tm 3.32, 4 Sm 3.53-3.62
2 Sm 0.3454 0.3454 0.2503  4 Sm 3.53-3.62, 7 Dy 3.66-3.83, 1 Tm 3.85
3 Sm 0.6546 0.6546 0.7497  4 Sm 3.53-3.62, 7 Dy 3.66-3.83, 1 Tm 3.85
4 Sm 0.9705 0.9705 0.7509  4 Dy 3.30-3.33, 2 Tm 3.32, 4 Sm 3.53-3.62
5 Dy 0.1732 0.1732 0.0519  2 Sm 3.30-3.68, 4 Dy 3.38-3.53, 2 Tm 3.51
6 Dy 0.1739 0.1739 0.4461  2 Sm 3.30-3.66, 6 Dy 3.37-3.53
7 Dy 0.5000 0.5000 0.5000  4 Sm 3.33, 6 Dy 3.52-3.53
8 Dy 0.8261 0.8261 0.5539  2 Sm 3.30-3.66, 6 Dy 3.37-3.53
9 Dy 0.8268 0.8268 0.9481  2 Sm 3.30-3.68, 4 Dy 3.38-3.53, 2 Tm 3.51
10 Tm 0.5000 0.5000 0.0000  4 Sm 3.32, 4 Dy 3.51, 2 Tm 3.53

***

## B
Computed, not measured: a relaxed Sm4Dy5Tm crystal at the PBE level of DFT.

Results
Space-group type = No. 107
Mass density = 7.9 Mg/m³

Cell: 8.0774 8.0774 8.0774 Å, 97.74 97.74 136.93°
Last column: nearest neighbours and their distance in Å.
Fractional coordinates of all 10 atoms:
1 Sm 0.0000 0.3229 0.3229  2 Dy 3.31, 1 Tm 3.70
2 Sm 0.0000 0.6771 0.6771  2 Dy 3.31, 1 Tm 3.70
3 Sm 0.3229 0.0000 0.3229  2 Dy 3.31, 1 Tm 3.70
4 Sm 0.6771 0.0000 0.6771  2 Dy 3.31, 1 Tm 3.70
5 Dy 0.3057 0.3057 0.6227  1 Tm 3.23, 3 Dy 3.24-3.49, 2 Sm 3.31
6 Dy 0.3057 0.6830 0.0000  1 Tm 3.23, 3 Dy 3.24-3.49, 2 Sm 3.31
7 Dy 0.6830 0.3057 0.0000  1 Tm 3.23, 3 Dy 3.24-3.49, 2 Sm 3.31
8 Dy 0.6830 0.6830 0.3773  1 Tm 3.23, 3 Dy 3.24-3.49, 2 Sm 3.31
9 Dy 0.7589 0.7589 0.0000  2 Tm 2.82-3.11
10 Tm 0.2338 0.2338 0.0000  2 Dy 2.82-3.11

***

Stability comparison, relative energies in eV/atom: A 0.000; B 0.061